CoSbPdO6: relaxed, PBE with a Hubbard U.

The structure in CIF format:
```
data_CoSbPdO6
_symmetry_space_group_name_H-M 'P -3 1 c'
_symmetry_Int_Tables_number 163
_symmetry_space_group_name_Hall '-P 3 2c'
_cell_length_a 5.1980
_cell_length_b 5.1980
_cell_length_c 8.7420
_cell_angle_alpha 90.00
_cell_angle_beta 90.00
_cell_angle_gamma 120.00
loop_
_atom_site_label
_atom_site_type_symbol
_atom_site_fract_x
_atom_site_fract_y
_atom_site_fract_z
_atom_site_occupancy
Co1 Co 0.0000 0.0000 0.0000 1
Sb1 Sb 0.3333 0.6667 0.2500 1
Pd1 Pd 0.3333 0.6667 0.7500 1
O1 O 0.0002 0.3428 0.1271 1
```

Values from the calculation:
raw total energy = -5.73 eV per atom
crystal system = trigonal
mass density = 6.2 Mg/m³